# 1
The following is a DFT calculation (PBE) of a relaxed Nd7Dy12Y crystal.

Unit cell a=11.340 b=11.340 c=11.340 alpha=90.00 beta=90.00 gamma=90.00
Space group Im-3m (No. 229)
Asymmetric unit:
Nd 0.000 0.000 0.500
Nd 0.250 0.250 0.250
Dy 0.000 0.248 0.248
Y 0.000 0.000 0.000

Summary:
Energy above the most stable polymorph in this dataset (meV per atom): 404
Fermi-level density of states (states/eV/cell): 57.7
Crystal system: cubic

---

# 2
The following is a DFT calculation (PBE) of a relaxed La2Nd12Tl5 crystal.

Unit cell a=17.525 b=7.229 c=10.675 alpha=90.00 beta=93.21 gamma=90.00
Space group C2/m (No. 12)
Asymmetric unit:
La 0.000 0.215 0.000
Nd 0.027 0.000 0.322
Nd 0.123 0.500 0.823
Nd 0.145 0.237 0.569
Nd 0.187 0.255 0.118
Tl 0.000 0.500 0.500
Tl 0.145 0.000 0.845
Tl 0.215 0.000 0.354

Summary:
Electronic total energy (eV/atom): -4.15
Fermi-level density of states (states/eV/cell): 49.2
Crystal system: monoclinic